# YEr2Tm3Te6 GGA-PBE optimized geometry
# total magnetization	0.00	μB/f.u.
# uncorrected energy	-0.191	hartree per atom
data_YEr2Tm3Te6
_chemical_formula_sum 'Y2 Er4 Tm6 Te12'
_cell_length_a 18.868
_cell_length_b 4.298
_cell_length_c 8.682
_cell_angle_alpha 90.00
_cell_angle_beta 103.88
_cell_angle_gamma 90.00
_symmetry_space_group_name_H-M 'C 1 2/m 1'
_symmetry_Int_Tables_number 12
loop_
_symmetry_equiv_pos_as_xyz
'x,y,z'
'-x,-y,-z'
'-x,y,-z'
'x,-y,z'
'x+1/2,y+1/2,z'
'-x+1/2,-y+1/2,-z'
'-x+1/2,y+1/2,-z'
'x+1/2,-y+1/2,z'
loop_
_atom_site_label
_atom_site_type_symbol
_atom_site_fract_x
_atom_site_fract_y
_atom_site_fract_z
Y1 Y 0.000 0.000 0.000
Er1 Er 0.165 0.500 0.331
Tm1 Tm 0.000 0.000 0.500
Tm2 Tm 0.165 0.500 0.832
Te1 Te 0.000 0.500 0.254
Te2 Te 0.167 0.000 0.584
Te3 Te 0.169 0.000 0.082


# ErUTe4 GGA-PBE optimized geometry
# E above lowest polymorph	0.000	eV/atom
# total magnetization	2.27	μB/f.u.
# uncorrected energy	-0.208	hartree per atom
data_ErUTe4
_chemical_formula_sum 'Er2 U2 Te8'
_cell_length_a 4.174
_cell_length_b 6.142
_cell_length_c 14.065
_cell_angle_alpha 90.00
_cell_angle_beta 90.00
_cell_angle_gamma 90.00
_symmetry_space_group_name_H-M 'I m m 2'
_symmetry_Int_Tables_number 44
loop_
_symmetry_equiv_pos_as_xyz
'x,y,z'
'-x,-y,z'
'-x,y,z'
'x,-y,z'
'x+1/2,y+1/2,z+1/2'
'-x+1/2,-y+1/2,z+1/2'
'-x+1/2,y+1/2,z+1/2'
'x+1/2,-y+1/2,z+1/2'
loop_
_atom_site_label
_atom_site_type_symbol
_atom_site_fract_x
_atom_site_fract_y
_atom_site_fract_z
Er1 Er 0.000 0.000 0.000
U1 U 0.000 0.000 0.726
Te1 Te 0.000 0.251 0.360
Te2 Te 0.000 0.500 0.067
Te3 Te 0.000 0.500 0.658


# ErU2Te5 GGA-PBE optimized geometry
# total magnetization	6.11	μB/f.u.
# uncorrected energy	-0.199	hartree per atom
data_ErU2Te5
_chemical_formula_sum 'Er1 U2 Te5'
_cell_length_a 7.436
_cell_length_b 7.436
_cell_length_c 5.263
_cell_angle_alpha 90.00
_cell_angle_beta 90.00
_cell_angle_gamma 90.00
_symmetry_space_group_name_H-M 'P 4/m m m'
_symmetry_Int_Tables_number 123
_symmetry_space_group_name_Hall '-P 4 2'
loop_
_atom_site_label
_atom_site_type_symbol
_atom_site_fract_x
_atom_site_fract_y
_atom_site_fract_z
Er1 Er 0.000 0.000 0.000
U1 U 0.000 0.500 0.500
Te1 Te 0.000 0.000 0.500
Te2 Te 0.279 0.279 0.000


# ErUTe GGA-PBE optimized geometry
# total magnetization	1.57	μB/f.u.
# uncorrected energy	-0.252	hartree per atom
data_ErUTe
_chemical_formula_sum 'Er4 U4 Te4'
_cell_length_a 5.681
_cell_length_b 5.508
_cell_length_c 10.626
_cell_angle_alpha 90.00
_cell_angle_beta 92.04
_cell_angle_gamma 90.00
_symmetry_space_group_name_H-M 'C 1 2/m 1'
_symmetry_Int_Tables_number 12
loop_
_symmetry_equiv_pos_as_xyz
'x,y,z'
'-x,-y,-z'
'-x,y,-z'
'x,-y,z'
'x+1/2,y+1/2,z'
'-x+1/2,-y+1/2,-z'
'-x+1/2,y+1/2,-z'
'x+1/2,-y+1/2,z'
loop_
_atom_site_label
_atom_site_type_symbol
_atom_site_fract_x
_atom_site_fract_y
_atom_site_fract_z
Er1 Er 0.234 0.000 0.266
U1 U 0.206 0.500 0.045
Te1 Te 0.240 0.500 0.369